[1]
DFT (GGA-PBE) results for Bi2RhPb after structural relaxation.

Cell: 3.452 3.452 8.690 Å, 90.00 90.00 90.00°
Positions (direct):
Bi 0.000 0.000 0.192
Bi 0.000 0.000 0.808
Rh 0.500 0.500 0.000
Pb 0.500 0.500 0.500

Results
Calculated volume ... 103.5 Å³ per cell
Formation enthalpy at 0 K ... -0.33 eV per formula unit

***

[2]
DFT (GGA-PBE) results for BiRhPbSe2 after structural relaxation.

Cell: 4.901 4.901 5.536 Å, 90.00 90.00 90.00°
Positions (direct):
Bi 0.000 0.000 0.000
Rh 0.000 0.000 0.500
Pb 0.500 0.500 0.000
Se 0.000 0.500 0.500
Se 0.500 0.000 0.500

Results
E_form (uncorrected) ... 136 meV/atom
Calculated volume ... 133.0 Å³ per cell

***

Magnetization / μB per formula unit: 0.0, 0.0
Mass density / g/cm³: 11.68, 8.46